A plane-wave DFT calculation with PBE was carried out for a geometry-optimized Y2Zr2O5 structure.

Computed properties:
Electronic total energy (eV/atom): -8.76
Volume (Å³ per cell): 131
Offset from the most stable computed form (eV/atom): 0.000

Lattice parameters (Å, degrees): 10.0215 3.6202 3.6202 90.00 90.00 90.00
Positions (direct):
O  0.1272  0.0000  0.5000
O  0.8728  0.5000  0.0000
O  0.5000  0.5000  0.5000
O  0.8728  0.0000  0.5000
O  0.1272  0.5000  0.0000
Zr  0.5000  0.0000  0.0000
Zr  0.0000  0.0000  0.0000
Y  0.7516  0.5000  0.5000
Y  0.2484  0.5000  0.5000

A plane-wave DFT calculation with PBE was carried out for a geometry-optimized Y2Zr30O63 structure.

Computed properties:
Electronic total energy (eV/atom): -9.43
Volume (Å³ per cell): 1090
Offset from the most stable computed form (eV/atom): 0.002

Lattice parameters (Å, degrees): 10.2535 10.2535 10.3674 90.03 90.03 89.79
Positions (direct):
O  0.1322  0.6312  0.6028
O  0.6319  0.8824  0.3994
O  0.8887  0.3714  0.1014
O  0.3849  0.3849  0.3614
O  0.6402  0.6402  0.1160
O  0.8809  0.8809  0.3588
O  0.8824  0.6319  0.3994
O  0.9036  0.1407  0.8960
O  0.3810  0.6363  0.6442
O  0.3853  0.1338  0.1441
O  0.8847  0.8847  0.6080
O  0.8802  0.6358  0.6497
O  0.6363  0.3810  0.6442
O  0.8723  0.1375  0.6475
O  0.3817  0.3817  0.1203
O  0.3780  0.8789  0.3529
O  0.1271  0.3885  0.3875
O  0.3779  0.3779  0.8617
O  0.1338  0.3853  0.1441
O  0.3935  0.8813  0.8547
O  0.3733  0.6367  0.8889
O  0.1375  0.8723  0.6475
O  0.3531  0.1239  0.8936
O  0.3885  0.1271  0.3875
O  0.8864  0.1311  0.4006
O  0.3886  0.1295  0.6454
O  0.6377  0.1352  0.3546
O  0.3886  0.3886  0.6171
O  0.6255  0.1261  0.8534
O  0.8827  0.6368  0.9006
O  0.8789  0.3780  0.3529
O  0.1295  0.3886  0.6454
O  0.6401  0.3795  0.1477
O  0.3839  0.8839  0.6035
O  0.6188  0.8918  0.1500
O  0.6318  0.6318  0.6061
O  0.6312  0.3833  0.3970
O  0.1319  0.1319  0.0896
O  0.6312  0.1322  0.6028
O  0.6368  0.8827  0.9006
O  0.8839  0.3839  0.6035
O  0.6367  0.3733  0.8889
O  0.8870  0.8870  0.8587
O  0.1352  0.6377  0.3546
O  0.6358  0.8802  0.6497
O  0.1239  0.3531  0.8936
O  0.1261  0.6255  0.8534
O  0.8839  0.1225  0.1506
O  0.6336  0.1340  0.1010
O  0.3795  0.6401  0.1477
O  0.6332  0.6332  0.3594
O  0.1316  0.1316  0.3546
O  0.1311  0.8864  0.4006
O  0.1225  0.8839  0.1506
O  0.1249  0.1249  0.6427
O  0.3833  0.6312  0.3970
O  0.3714  0.8887  0.1014
O  0.1340  0.6336  0.1010
O  0.8735  0.8735  0.1116
O  0.1407  0.9036  0.8960
O  0.6334  0.6334  0.8559
O  0.8918  0.6188  0.1500
O  0.8813  0.3935  0.8547
Zr  0.5092  0.2631  0.7493
Zr  0.0083  0.0083  0.5061
Zr  0.5079  0.7558  0.2534
Zr  0.0086  0.5031  0.0008
Zr  0.0041  0.7540  0.2532
Zr  0.2631  0.5092  0.7493
Zr  0.5064  0.5064  0.5015
Zr  0.7540  0.0041  0.2532
Zr  0.9948  0.2713  0.7412
Zr  0.2649  0.2649  0.0113
Zr  0.2565  0.7589  0.0000
Zr  0.7541  0.7541  0.0003
Zr  0.7554  0.0053  0.7515
Zr  0.5097  0.7539  0.7502
Zr  0.2549  0.7571  0.4981
Zr  0.7558  0.5079  0.2534
Zr  0.2601  0.5079  0.2528
Zr  0.9975  0.9975  0.0126
Zr  0.7589  0.2565  0.0000
Zr  0.5075  0.0119  0.4980
Zr  0.7539  0.5097  0.7502
Zr  0.5031  0.0086  0.0008
Zr  0.0053  0.7554  0.7515
Zr  0.0073  0.2584  0.2490
Zr  0.7580  0.7580  0.5030
Zr  0.7571  0.2549  0.4981
Zr  0.2713  0.9948  0.7412
Zr  0.0119  0.5075  0.4980
Zr  0.5079  0.2601  0.2528
Zr  0.2584  0.0073  0.2490
Y  0.2561  0.2561  0.5051
Y  0.5090  0.5090  0.0030

A plane-wave DFT calculation with PBE was carried out for a geometry-optimized Y2Zr30O63 structure.

Computed properties:
Electronic total energy (eV/atom): -9.43
Volume (Å³ per cell): 1094
Offset from the most stable computed form (eV/atom): 0.002

Lattice parameters (Å, degrees): 10.2567 10.2567 10.4004 90.10 90.10 90.29
Positions (direct):
O  0.8791  0.3765  0.1399
O  0.8722  0.6243  0.1041
O  0.8824  0.6190  0.8571
O  0.8671  0.3650  0.3829
O  0.6257  0.1242  0.6511
O  0.6236  0.3797  0.8520
O  0.6163  0.3821  0.3516
O  0.1195  0.6200  0.1447
O  0.3726  0.6274  0.1018
O  0.6200  0.1195  0.1447
O  0.6243  0.8722  0.1041
O  0.3715  0.8747  0.8905
O  0.6274  0.3726  0.1018
O  0.1164  0.9007  0.8589
O  0.6288  0.6288  0.8950
O  0.8886  0.1141  0.3514
O  0.1303  0.1303  0.3961
O  0.6255  0.6255  0.3966
O  0.1141  0.8886  0.3514
O  0.3797  0.6236  0.8520
O  0.8688  0.6428  0.6151
O  0.6193  0.3683  0.6021
O  0.6214  0.6214  0.1463
O  0.1298  0.3521  0.8612
O  0.3766  0.1277  0.1078
O  0.1271  0.3691  0.6122
O  0.1318  0.6358  0.3869
O  0.8728  0.8728  0.4015
O  0.3521  0.1298  0.8612
O  0.6240  0.1294  0.8968
O  0.3765  0.8791  0.1399
O  0.9007  0.1164  0.8589
O  0.6428  0.8688  0.6151
O  0.1294  0.6240  0.8968
O  0.3769  0.1225  0.3533
O  0.3650  0.8671  0.3829
O  0.1218  0.1218  0.1220
O  0.1183  0.1183  0.6641
O  0.3705  0.3705  0.3985
O  0.8764  0.8764  0.1475
O  0.3773  0.3773  0.1463
O  0.8732  0.1352  0.6018
O  0.3833  0.8685  0.6414
O  0.1277  0.3766  0.1078
O  0.8747  0.3715  0.8905
O  0.3790  0.3790  0.8976
O  0.3766  0.3766  0.6498
O  0.1352  0.8732  0.6018
O  0.6190  0.8824  0.8571
O  0.6358  0.1318  0.3869
O  0.8945  0.8945  0.6533
O  0.1225  0.3769  0.3533
O  0.1242  0.6257  0.6511
O  0.3821  0.6163  0.3516
O  0.8685  0.3833  0.6414
O  0.8671  0.8671  0.8972
O  0.8663  0.1243  0.1062
O  0.6243  0.8733  0.3516
O  0.8733  0.6243  0.3516
O  0.1243  0.8663  0.1062
O  0.3691  0.1271  0.6122
O  0.6159  0.6159  0.6460
O  0.3683  0.6193  0.6021
Zr  0.7530  0.0000  0.7505
Zr  0.2589  0.9909  0.7401
Zr  0.0000  0.2505  0.2494
Zr  0.5006  0.9981  0.0018
Zr  0.7496  0.5051  0.7508
Zr  0.2505  0.0000  0.2494
Zr  0.7503  0.2526  0.9993
Zr  0.2544  0.7470  0.4991
Zr  0.7501  0.4974  0.2498
Zr  0.0000  0.7530  0.7505
Zr  0.9869  0.9869  0.0119
Zr  0.7476  0.7476  0.0052
Zr  0.2526  0.7503  0.9993
Zr  0.4975  0.2489  0.7505
Zr  0.5051  0.7496  0.7508
Zr  0.2489  0.4975  0.7505
Zr  0.7480  0.7480  0.4970
Zr  0.5010  0.2454  0.2519
Zr  0.0009  0.0009  0.5015
Zr  0.7487  0.0037  0.2535
Zr  0.5037  0.5037  0.9994
Zr  0.2454  0.5010  0.2519
Zr  0.9909  0.2589  0.7401
Zr  0.4974  0.7501  0.2498
Zr  0.4982  0.4982  0.4988
Zr  0.9981  0.5006  0.0018
Zr  0.2635  0.2635  0.0120
Zr  0.7470  0.2544  0.4991
Zr  0.2510  0.2510  0.5056
Zr  0.0037  0.7487  0.2535
Y  0.5041  0.9977  0.4989
Y  0.9977  0.5041  0.4989

A plane-wave DFT calculation with PBE was carried out for a geometry-optimized Y2Zr2O5 structure.

Computed properties:
Electronic total energy (eV/atom): -8.68
Volume (Å³ per cell): 127
Offset from the most stable computed form (eV/atom): 0.080

Lattice parameters (Å, degrees): 7.4006 4.1355 4.1355 90.00 90.00 90.00
Positions (direct):
Y  0.5000  0.0000  0.0000
Y  0.0000  0.0000  0.0000
O  0.2534  0.5000  0.0000
O  0.7466  0.5000  0.0000
O  0.7466  0.0000  0.5000
O  0.5000  0.5000  0.5000
O  0.2534  0.0000  0.5000
Zr  0.7827  0.5000  0.5000
Zr  0.2173  0.5000  0.5000

A plane-wave DFT calculation with PBE was carried out for a geometry-optimized Y2Zr30O63 structure.

Computed properties:
Electronic total energy (eV/atom): -9.43
Volume (Å³ per cell): 1090
Offset from the most stable computed form (eV/atom): 0.006

Lattice parameters (Å, degrees): 10.2644 10.2943 10.3174 90.12 90.24 90.23
Positions (direct):
O  0.6227  0.3643  0.1388
O  0.3761  0.6349  0.1398
O  0.6200  0.1356  0.8654
O  0.1328  0.1096  0.6046
O  0.8708  0.3763  0.3642
O  0.3679  0.6136  0.8905
O  0.1209  0.3861  0.3888
O  0.1220  0.6350  0.8595
O  0.6252  0.1103  0.6196
O  0.1319  0.6103  0.6080
O  0.8676  0.6123  0.8948
O  0.6251  0.6378  0.3614
O  0.3826  0.8576  0.3652
O  0.6269  0.1149  0.1112
O  0.3622  0.3537  0.3515
O  0.8823  0.3654  0.8671
O  0.6145  0.3885  0.3817
O  0.6342  0.8880  0.8926
O  0.1261  0.3590  0.6395
O  0.8818  0.8677  0.3624
O  0.3782  0.6384  0.6393
O  0.8767  0.8624  0.8600
O  0.6339  0.6142  0.6090
O  0.6189  0.8667  0.1400
O  0.3826  0.8659  0.8626
O  0.6217  0.6355  0.8603
O  0.8754  0.3907  0.6213
O  0.1355  0.8851  0.3951
O  0.6304  0.6156  0.1102
O  0.1239  0.8616  0.6375
O  0.1257  0.6366  0.3575
O  0.3704  0.1074  0.3953
O  0.3730  0.3913  0.1058
O  0.3656  0.3902  0.6014
O  0.8857  0.1351  0.1353
O  0.8694  0.8882  0.6095
O  0.8609  0.1196  0.8820
O  0.1356  0.3942  0.8870
O  0.1232  0.8774  0.1419
O  0.6366  0.3882  0.8931
O  0.3680  0.6055  0.3894
O  0.1254  0.3390  0.1311
O  0.8750  0.1157  0.3832
O  0.1397  0.8819  0.8835
O  0.1242  0.1403  0.8751
O  0.6166  0.1299  0.3576
O  0.8774  0.6379  0.6422
O  0.3817  0.3674  0.8556
O  0.8785  0.6320  0.1422
O  0.8834  0.1304  0.6387
O  0.3704  0.8850  0.1119
O  0.3500  0.1373  0.1390
O  0.8695  0.3866  0.1153
O  0.6179  0.3720  0.6438
O  0.8612  0.8787  0.1169
O  0.6371  0.8882  0.3926
O  0.1266  0.1311  0.3334
O  0.8712  0.6193  0.3926
O  0.3734  0.1405  0.6393
O  0.3688  0.8896  0.6113
O  0.3716  0.1143  0.8883
O  0.6238  0.8628  0.6399
O  0.1316  0.6096  0.1083
Zr  0.5051  0.9983  0.5020
Zr  0.9895  0.2591  0.2578
Zr  0.2489  0.5005  0.7447
Zr  0.7460  0.5011  0.2513
Zr  0.7509  0.2498  0.0006
Zr  0.5033  0.2455  0.7480
Zr  0.4963  0.2481  0.2475
Zr  0.2619  0.9877  0.2625
Zr  0.5040  0.5024  0.9972
Zr  0.9968  0.9998  0.4976
Zr  0.5020  0.7463  0.2466
Zr  0.5029  0.5020  0.5022
Zr  0.5015  0.7513  0.7507
Zr  0.2509  0.7478  0.9971
Zr  0.7514  0.0020  0.7499
Zr  0.2496  0.4974  0.2508
Zr  0.0000  0.7525  0.2495
Zr  0.7518  0.5009  0.7516
Zr  0.2516  0.9983  0.7467
Zr  0.2499  0.7458  0.5006
Zr  0.7522  0.7511  0.5018
Zr  0.2493  0.2508  0.4973
Zr  0.0032  0.7517  0.7509
Zr  0.9990  0.2492  0.7522
Zr  0.7508  0.0000  0.2511
Zr  0.2625  0.2631  0.9865
Zr  0.7511  0.7499  0.0022
Zr  0.9946  0.5013  0.5022
Zr  0.9977  0.4978  0.9999
Zr  0.5010  0.9970  0.9981
Y  0.7459  0.2518  0.5018
Y  0.9938  0.9946  0.9944

A plane-wave DFT calculation with PBE was carried out for a geometry-optimized Zn2O structure.

Computed properties:
Electronic total energy (eV/atom): -2.26
Volume (Å³ per cell): 78
Offset from the most stable computed form (eV/atom): 0.452

Lattice parameters (Å, degrees): 4.7867 4.7867 4.7867 60.00 60.00 60.00
Positions (direct):
O  0.2500  0.2500  0.2500
O  0.0000  0.0000  0.0000
Zn  0.6250  0.6250  0.6250
Zn  0.6250  0.6250  0.1250
Zn  0.1250  0.6250  0.6250
Zn  0.6250  0.1250  0.6250

A plane-wave DFT calculation with PBE was carried out for a geometry-optimized ZnO4 structure.

Computed properties:
Electronic total energy (eV/atom): -4.06
Volume (Å³ per cell): 91

Lattice parameters (Å, degrees): 4.2933 4.2952 4.9399 90.00 90.00 90.00
Positions (direct):
O  0.9072  0.7500  0.9417
O  0.4073  0.2500  0.0529
O  0.2500  0.4076  0.5529
O  0.7500  0.5926  0.4416
O  0.2500  0.0924  0.5529
O  0.0927  0.2500  0.0529
O  0.7500  0.9074  0.4416
O  0.5928  0.7500  0.9417
Zn  0.7500  0.2500  0.7475
Zn  0.2500  0.7500  0.2477

A plane-wave DFT calculation with PBE was carried out for a geometry-optimized Zn5O structure.

Computed properties:
Electronic total energy (eV/atom): -1.57
Volume (Å³ per cell): 92

Lattice parameters (Å, degrees): 4.9448 4.9448 4.3628 90.00 90.00 120.00
Positions (direct):
Zn  0.0000  0.5000  0.5000
Zn  0.3333  0.6667  0.0000
Zn  0.6667  0.3333  0.0000
Zn  0.5000  0.5000  0.5000
Zn  0.5000  0.0000  0.5000
O  0.0000  0.0000  0.0000

A plane-wave DFT calculation with PBE was carried out for a geometry-optimized Zn3O2 structure.

Computed properties:
Electronic total energy (eV/atom): -3.35
Volume (Å³ per cell): 122

Lattice parameters (Å, degrees): 5.2670 5.2670 5.9142 116.44 63.56 120.00
Positions (direct):
Zn  0.5896  0.7500  0.2500
Zn  0.2500  0.0896  0.2500
Zn  0.9104  0.4104  0.2500
Zn  0.7500  0.9104  0.7500
Zn  0.4104  0.2500  0.7500
Zn  0.0896  0.5896  0.7500
O  0.8379  0.1621  0.4864
O  0.3379  0.6621  0.9864
O  0.6621  0.3379  0.0136
O  0.1621  0.8379  0.5136

A plane-wave DFT calculation with PBE was carried out for a geometry-optimized Zn4O5 structure.

Computed properties:
Electronic total energy (eV/atom): -3.94
Volume (Å³ per cell): 103

Lattice parameters (Å, degrees): 7.8661 3.6151 3.6151 90.00 90.00 90.00
Positions (direct):
O  0.1680  0.0000  0.5000
O  0.8320  0.5000  0.0000
O  0.8320  0.0000  0.5000
O  0.5000  0.5000  0.5000
O  0.1680  0.5000  0.0000
Zn  0.0000  0.0000  0.0000
Zn  0.7571  0.5000  0.5000
Zn  0.2429  0.5000  0.5000
Zn  0.5000  0.0000  0.0000

A plane-wave DFT calculation with PBE was carried out for a geometry-optimized ZnO4 structure.

Computed properties:
Electronic total energy (eV/atom): -4.38
Volume (Å³ per cell): 101

Lattice parameters (Å, degrees): 4.6830 5.8327 4.5391 89.63 114.89 113.79
Positions (direct):
O  0.8590  0.5531  0.6203
O  0.5390  0.9338  0.3585
O  0.2802  0.3595  0.1926
O  0.2385  0.0571  0.6706
O  0.5762  0.1348  0.8797
O  0.7564  0.6513  0.8021
O  0.1589  0.4410  0.3685
O  0.5967  0.8731  0.1130
Zn  0.0285  0.7486  0.2943
Zn  0.9678  0.2465  0.7005